Version 1
YErHf, relaxed, DFT PBE; symmetry = I4mm
1.0
3.367 0.000 0.000
0.000 3.367 0.000
-1.684 -1.684 7.368
Er Y Hf
1 1 1
direct
0.321 0.321 0.641
0.011 0.011 0.022
0.668 0.668 0.337


Version 2
YErHf, relaxed, DFT PBE; symmetry = P-6m2
1.0
3.399 0.000 0.000
0.000 5.311 0.000
0.000 -2.655 4.599
Er Hf Y
1 1 1
direct
0.167 0.000 0.000
0.166 0.333 0.667
0.667 0.667 0.333


version 1 takes first place; second place is 7.6 kJ/mol of atoms up.


Version 1
YErHf, relaxed, DFT PBE; symmetry = P2_1/m
1.0
4.684 0.000 0.003
0.000 3.373 -0.267
-0.007 -2.528 10.739
Hf Y Er
2 2 2
direct
0.347 0.177 0.843
0.847 0.813 0.980
0.847 0.151 0.318
0.347 0.838 0.505
0.347 0.472 0.139
0.847 0.518 0.685


Version 2
YErHf, relaxed, DFT PBE; symmetry = Cmcm
1.0
-0.860 -4.511 -1.589
2.286 -1.176 2.102
-6.095 -1.752 8.273
Hf Y Er
2 2 2
direct
0.250 0.286 0.429
0.750 0.714 0.571
0.250 0.449 0.103
0.750 0.551 0.897
0.750 0.865 0.269
0.250 0.135 0.731


version 1 takes first place; second place is 4.9 kJ/mol of atoms up.


Version 1
ErHfZn, relaxed, DFT PBE; symmetry = P3m1
1.0
-0.042 1.529 2.979
3.077 -3.291 1.733
1.682 4.035 -2.048
Hf Er Zn
1 1 1
direct
0.167 0.000 0.000
0.667 0.667 0.333
0.166 0.333 0.667


Version 2
ErHfZn, relaxed, DFT PBE; symmetry = I4mm
1.0
3.300 0.000 0.000
0.000 3.300 0.000
-1.650 -1.650 6.059
Er Hf Zn
1 1 1
direct
0.005 0.005 0.011
0.318 0.318 0.637
0.676 0.676 0.352


version 2 takes first place; second place is 18.9 kJ/mol of atoms up.


Version 1
ErHfZn4, relaxed, DFT PBE; symmetry = F-43m
1.0
5.312 0.000 0.000
2.656 4.600 0.000
2.656 1.533 4.337
Er Zn Hf
1 4 1
direct
0.250 0.250 0.250
0.626 0.123 0.626
0.626 0.626 0.123
0.123 0.626 0.626
0.626 0.626 0.626
0.000 0.000 0.000


Version 2
ErHfZn4, relaxed, DFT PBE; symmetry = Pmmm
1.0
-1.562 1.085 -2.624
2.270 -2.815 -2.515
-5.405 -5.282 1.034
Zn Hf Er
4 1 1
direct
0.499 0.997 0.837
0.499 0.997 0.159
0.499 0.497 0.673
0.499 0.497 0.324
0.999 0.497 0.998
0.999 0.997 0.498


version 2 takes first place; second place is 5.8 kJ/mol of atoms up.


Version 1
ErHf2Zr, relaxed, DFT PBE; symmetry = R-3m
1.0
-2.133 2.018 1.361
-2.581 -1.181 1.554
4.005 0.045 10.054
Zr Hf Er
1 2 1
direct
0.000 0.000 0.000
0.746 0.746 0.762
0.254 0.254 0.238
0.500 0.500 0.500


Version 2
ErHf2Zr, relaxed, DFT PBE; symmetry = R3m
1.0
-1.543 -2.367 -1.631
-1.554 -2.359 1.632
-9.826 4.187 -0.045
Hf Er Zr
2 1 1
direct
0.254 0.254 0.239
0.080 0.080 0.761
0.500 0.500 0.500
0.666 0.666 0.001


Version 3
ErHf2Zr, relaxed, DFT PBE; symmetry = P4/mmm
1.0
4.601 0.000 0.000
0.000 4.577 0.000
0.000 0.000 4.577
Hf Zr Er
2 1 1
direct
0.000 0.000 0.500
0.000 0.500 0.000
0.500 0.000 0.000
0.500 0.500 0.500


Version 4
ErHf2Zr, relaxed, DFT PBE; symmetry = P4/mmm
1.0
-0.536 -3.609 -0.904
2.042 -1.049 2.976
-5.709 -0.123 3.873
Er Hf Zr
1 2 1
direct
0.500 0.500 0.500
0.000 0.000 0.786
0.000 0.000 0.214
0.500 0.500 0.000


version 2 takes first place; second place is 2.1 kJ/mol of atoms up.


Version 1
ErHfZr2, relaxed, DFT PBE; symmetry = Fm-3m
1.0
-1.606 3.626 3.279
-4.794 1.838 -0.342
-3.465 -1.160 3.624
Zr Er Hf
2 1 1
direct
0.750 0.750 0.750
0.250 0.250 0.250
0.000 0.000 0.000
0.500 0.500 0.500


Version 2
ErHfZr2, relaxed, DFT PBE; symmetry = R-3m
1.0
-1.651 -2.694 0.753
0.862 -2.849 -1.299
6.336 -3.597 8.034
Zr Hf Er
2 1 1
direct
0.246 0.246 0.263
0.754 0.754 0.737
0.500 0.500 0.500
0.000 0.000 0.000


version 2 takes first place; second place is 11.3 kJ/mol of atoms up.